Density functional theory data (meta-GGA SCAN) for a crystal of RbSr2O relaxed with PBEsol.

Values from the calculation:
The calculation puts the formation energy from raw total energies at -1295.4 meV per atom. The calculation puts the theoretical density at 2.6 g/cm3. The crystal system is cubic.

a b c (Å): 11.1648 11.1648 11.1648
angles (deg): 90.00 90.00 90.00
Last column: nearest neighbours and their distance in Å.
Space group Fd-3m (No. 227, origin choice 2)
Asymmetric unit:
Rb 0.1250 0.1250 0.1250 [8 per cell]  12 Sr 4.63, 4 O 4.83, 4 Rb 4.83
Sr 0.0000 0.0000 0.5000 [16 per cell]  2 O 2.42
O 0.1250 0.1250 0.6250 [8 per cell]  4 Sr 2.42



Density functional theory data (meta-GGA SCAN) for a crystal of RbTaO2 relaxed with PBEsol.

Values from the calculation:
The calculation puts the formation energy from raw total energies at -1793.6 meV per atom. The calculation puts the theoretical density at 6.2 g/cm3. The crystal system is tetragonal.

a b c (Å): 5.3290 5.3290 11.1990
angles (deg): 90.00 90.00 90.00
Last column: nearest neighbours and their distance in Å.
Space group I-42d (No. 122)
Asymmetric unit:
Rb 0.0000 0.0000 0.0000 [4 per cell]  4 O 3.09
Ta 0.0000 0.0000 0.5000 [4 per cell]  4 O 1.95
O 0.0486 0.2500 0.6250 [8 per cell]  2 Ta 1.95



Density functional theory data (meta-GGA SCAN) for a crystal of Rb8Ta6O19 relaxed with PBEsol.

Values from the calculation:
The calculation puts the formation energy from raw total energies at -2742.2 meV per atom. The calculation puts the theoretical density at 5.4 g/cm3. The crystal system is tetragonal.

a b c (Å): 9.7740 9.7740 13.2637
angles (deg): 90.00 90.00 90.00
Last column: nearest neighbours and their distance in Å.
Space group I4/m (No. 87)
Asymmetric unit:
Rb 0.0874 0.2701 0.1430 [16 per cell]  4 O 2.76-2.92
Ta 0.0000 0.0000 0.3254 [4 per cell]  5 O 1.82-2.00
Ta 0.1080 0.2176 0.5000 [8 per cell]  5 O 1.82-2.01
O 0.0000 0.0000 0.1879 [4 per cell]  1 Ta 1.82
O 0.0000 0.0000 0.5000 [2 per cell]  6 Ta 2.32-2.37
O 0.0864 0.7333 0.5000 [8 per cell]  2 Ta 1.96-2.01
O 0.0929 0.1784 0.3526 [16 per cell]  2 Ta 2.00
O 0.1242 0.7066 0.0000 [8 per cell]  1 Ta 1.82



Density functional theory data (meta-GGA SCAN) for a crystal of Rb2Ta15O32 relaxed with PBEsol.

Values from the calculation:
The calculation puts the formation energy from raw total energies at -2881.2 meV per atom. The calculation puts the theoretical density at 8.9 g/cm3. The crystal system is trigonal.

a b c (Å): 7.7883 7.7883 36.0610
angles (deg): 90.00 90.00 120.00
Last column: nearest neighbours and their distance in Å.
Space group R-3 (No. 148, hexagonal axes)
Asymmetric unit:
Rb 0.0000 0.0000 0.1404 [6 per cell]  12 O 3.00-3.20
Ta 0.0000 0.0000 0.3624 [6 per cell]  6 O 1.96-2.03
Ta 0.0000 0.0000 0.5000 [3 per cell]  6 O 1.99
Ta 0.0218 0.8037 0.0323 [18 per cell]  5 O 2.03-2.16
Ta 0.0662 0.8058 0.2344 [18 per cell]  6 O 1.89-2.11
O 0.0000 0.0000 0.2635 [6 per cell]  3 Ta 2.11
O 0.0019 0.7944 0.5322 [18 per cell]  2 Ta 1.89-1.99
O 0.0274 0.7919 0.9342 [18 per cell]  3 Ta 2.05-2.09
O 0.0594 0.8223 0.7899 [18 per cell]  2 Ta 1.95-1.96
O 0.0613 0.8229 0.3945 [18 per cell]  3 Ta 2.01-2.16
O 0.0717 0.8333 0.6668 [18 per cell]  3 Ta 1.96-2.12



Density functional theory data (meta-GGA SCAN) for a crystal of RbTaO3 relaxed with PBEsol.

Values from the calculation:
The calculation puts the formation energy from raw total energies at -2804.8 meV per atom. The calculation puts the theoretical density at 8.0 g/cm3. The crystal system is cubic.

a b c (Å): 4.0271 4.0271 4.0271
angles (deg): 90.00 90.00 90.00
Last column: nearest neighbours and their distance in Å.
Space group Pm-3m (No. 221)
Asymmetric unit:
Rb 0.0000 0.0000 0.0000 [1 per cell]  12 O 2.85
Ta 0.5000 0.5000 0.5000 [1 per cell]  6 O 2.01
O 0.0000 0.5000 0.5000 [3 per cell]  2 Ta 2.01



Density functional theory data (meta-GGA SCAN) for a crystal of RbTaO3 relaxed with PBEsol.

Values from the calculation:
The calculation puts the formation energy from raw total energies at -2827.0 meV per atom. The calculation puts the theoretical density at 6.0 g/cm3. The crystal system is triclinic.

a b c (Å): 5.0875 8.4404 8.9946
angles (deg): 114.69 93.84 94.51
Last column: nearest neighbours and their distance in Å.
Space group P-1 (No. 2)
Asymmetric unit:
Rb 0.0000 0.0000 0.0000 [1 per cell]  4 O 2.74-2.76
Rb 0.0000 0.0000 0.5000 [1 per cell]  4 O 2.79-2.99
Rb 0.4063 0.7011 0.0959 [2 per cell]  6 O 2.81-3.07
Ta 0.0238 0.5120 0.3148 [2 per cell]  3 O 1.80-1.97
Ta 0.4969 0.2839 0.3544 [2 per cell]  3 O 1.81-1.96
O 0.1016 0.3924 0.8172 [2 per cell]  1 Ta 1.80
O 0.2133 0.7193 0.7735 [2 per cell]  2 Ta 1.92-2.03
O 0.2382 0.4253 0.5099 [2 per cell]  2 Ta 2.05-2.06
O 0.2799 0.7156 0.4590 [2 per cell]  2 Ta 1.96-1.97
O 0.2975 0.3738 0.2060 [2 per cell]  2 Ta 1.93-2.04
O 0.3488 0.0583 0.2682 [2 per cell]  1 Ta 1.81



Density functional theory data (meta-GGA SCAN) for a crystal of RbZrTc2O relaxed with PBEsol.

Values from the calculation:
The calculation puts the formation energy from raw total energies at 810.8 meV per atom. The calculation puts the theoretical density at 5.8 g/cm3. The crystal system is tetragonal.

a b c (Å): 5.1424 5.1424 4.2236
angles (deg): 90.00 90.00 90.00
Last column: nearest neighbours and their distance in Å.
Space group P4/mmm (No. 123)
Asymmetric unit:
Rb 0.0000 0.0000 0.0000 [1 per cell]  8 Tc 3.33, 4 O 3.64
Zr 0.5000 0.5000 0.5000 [1 per cell]  2 O 2.11
Tc 0.0000 0.5000 0.5000 [2 per cell]  2 Zr 2.57
O 0.5000 0.5000 0.0000 [1 per cell]  2 Zr 2.11



Density functional theory data (meta-GGA SCAN) for a crystal of Rb2TeO3 relaxed with PBEsol.

Values from the calculation:
The calculation puts the formation energy from raw total energies at -1624.8 meV per atom. The calculation puts the theoretical density at 4.2 g/cm3. The crystal system is monoclinic.

a b c (Å): 11.5862 6.4452 7.4554
angles (deg): 90.00 96.73 90.00
Last column: nearest neighbours and their distance in Å.
Space group C2/m (No. 12)
Asymmetric unit:
Rb 0.0000 0.0000 0.0000 [2 per cell]  6 O 2.79-2.80
Rb 0.0000 0.0000 0.5000 [2 per cell]  6 O 2.81-2.99
Rb 0.1834 0.5000 0.1401 [4 per cell]  4 O 2.95-3.01
Te 0.1573 0.5000 0.6548 [4 per cell]  3 O 1.87
O 0.1130 0.2756 0.7910 [8 per cell]  1 Te 1.87
O 0.1818 0.0000 0.2823 [4 per cell]  1 Te 1.87



These records have V values of 1391.7, 318.0, 1267.1, 1894.3, 65.3, 347.7, 111.7, 552.9 Å³ per cell, in the order they appear.